(1)
This record from the Alexandria database describes a relaxed structure of LiZrCu2. The functional is PBE.

Cell: 2.866 4.708 9.479 Å, 90.00 90.00 90.00°
Space group Imm2 (No. 44)
Inequivalent atoms, fractional coordinates:
Li 0.000 0.000 0.000 x2
Zr 0.000 0.500 0.796 x2
Cu 0.000 0.000 0.547 x2
Cu 0.000 0.500 0.254 x2

Computed properties:
Density of states at the Fermi level: 3.8 states/eV per cell
DFT total energy: -18.480 eV/f.u.

***

(2)
This record from the Alexandria database describes a relaxed structure of LiZrCu. The functional is PBE.

Cell: 2.9942 2.9942 6.9239 Å, 90.00 90.00 120.00°
Space group P3m1 (No. 156)
Inequivalent atoms, fractional coordinates:
Li 0.0000 0.0000 0.0000 x1
Zr 0.6667 0.3333 0.3876 x1
Cu 0.3333 0.6667 0.7097 x1

Computed properties:
Density of states at the Fermi level: 1.9 states/eV per cell
ΔE to the lowest computed polymorph: 0.106 eV per atom
DFT total energy: -14.054 eV/f.u.

***

(3)
This record from the Alexandria database describes a relaxed structure of LiZrCu3. The functional is PBE.

Cell: 4.978 4.978 4.978 Å, 90.00 90.00 90.00°
Space group Pm-3m (No. 221)
Inequivalent atoms, fractional coordinates:
Li 0.000 0.000 0.000 x1
Zr 0.500 0.500 0.500 x1
Cu 0.000 0.500 0.500 x3

Computed properties:
Density of states at the Fermi level: 4.0 states/eV per cell
ΔE to the lowest computed polymorph: 0.699 eV per atom
DFT total energy: -17.684 eV/f.u.

***

(4)
This record from the Alexandria database describes a relaxed structure of LiZrCu2. The functional is PBE.

Cell: 4.457 4.457 5.901 Å, 90.00 90.00 90.00°
Space group I-4m2 (No. 119)
Inequivalent atoms, fractional coordinates:
Li 0.000 0.000 0.000 x2
Zr 0.000 0.500 0.250 x2
Cu 0.000 0.000 0.500 x2
Cu 0.000 0.500 0.750 x2

Computed properties:
Density of states at the Fermi level: 10.1 states/eV per cell
DFT total energy: -18.528 eV/f.u.

***

(5)
This record from the Alexandria database describes a relaxed structure of Li2ZrCu9. The functional is PBE.

Cell: 4.8613 4.8613 24.5238 Å, 90.00 90.00 120.00°
Space group R-3m (No. 166, hexagonal axes)
Inequivalent atoms, fractional coordinates:
Li 0.0000 0.0000 0.1464 x6
Zr 0.0000 0.0000 0.0000 x3
Cu 0.0000 0.0000 0.3327 x6
Cu 0.0000 0.0000 0.5000 x3
Cu 0.0006 0.5003 0.9157 x18

Computed properties:
Density of states at the Fermi level: 21.2 states/eV per cell
DFT total energy: -49.763 eV/f.u.

***

(6)
This record from the Alexandria database describes a relaxed structure of LiZrCu2. The functional is PBE.

Cell: 6.927 6.927 5.260 Å, 90.00 90.00 90.00°
Space group I-42d (No. 122)
Inequivalent atoms, fractional coordinates:
Li 0.000 0.000 0.000 x4
Zr 0.000 0.000 0.500 x4
Cu 0.210 0.750 0.125 x8

Computed properties:
Density of states at the Fermi level: 22.0 states/eV per cell
DFT total energy: -17.349 eV/f.u.

***

(7)
This record from the Alexandria database describes a relaxed structure of LiZrCu2. The functional is PBE.

Cell: 2.8742 2.8742 27.1084 Å, 90.00 90.00 120.00°
Space group R3m (No. 160, hexagonal axes)
Inequivalent atoms, fractional coordinates:
Li 0.0000 0.0000 0.0000 x3
Zr 0.0000 0.0000 0.7686 x3
Cu 0.0000 0.0000 0.2573 x3
Cu 0.0000 0.0000 0.5212 x3

Computed properties:
Density of states at the Fermi level: 4.9 states/eV per cell
DFT total energy: -18.062 eV/f.u.

***

(8)
This record from the Alexandria database describes a relaxed structure of LiZrCu2. The functional is PBE.

Cell: 2.872 3.299 6.415 Å, 90.00 90.00 90.00°
Space group Pmmm (No. 47)
Inequivalent atoms, fractional coordinates:
Li 0.000 0.000 0.000 x1
Zr 0.000 0.000 0.500 x1
Cu 0.500 0.500 0.214 x2

Computed properties:
Density of states at the Fermi level: 2.6 states/eV per cell
DFT total energy: -18.810 eV/f.u.

***

| no. | volume (Å³/cell) | formation enthalpy at 0 K (eV/f.u.) |
| --- | --- | --- |
| 1 | 127.9 | 0.2 |
| 2 | 53.8 | 0.5 |
| 3 | 123.3 | 5.1 |
| 4 | 117.2 | 0.1 |
| 5 | 501.9 | -0.5 |
| 6 | 252.4 | 1.3 |
| 7 | 193.9 | 0.6 |
| 8 | 60.8 | -0.2 |